NaGaPb: relaxed, PBE.

Properties
Raw total energy ... -2.6968 eV/atom
Calculated volume ... 28.1 A^3/atom
ΔH_f (0 K) ... -1.2 kJ/mol of atoms
Total magnetic moment ... 0.00 Bohr magnetons per cell

a b c (Å): 6.0891 5.7102 5.4359
angles (deg): 89.98 90.97 116.94
Element x y z (fractional)
Pb1 0.0068 0.4870 0.5823
Pb2 0.3774 0.6744 0.0991
Na1 0.0215 0.9940 0.9157
Na2 0.6750 0.3194 0.0964
Ga1 0.5009 0.9897 0.5982
Ga2 0.5000 0.4753 0.6000

SrMgW2: relaxed, PBE.

Properties
Raw total energy ... -6.7636 eV/atom
Calculated volume ... 23.2 A^3/atom
ΔH_f (0 K) ... 51.3 kJ/mol of atoms
Total magnetic moment ... 0.00 Bohr magnetons per cell

a b c (Å): 3.3646 3.3646 8.1807
angles (deg): 90.00 90.00 90.00
Element x y z (fractional)
Mg1 0.0000 0.0000 0.4359
Sr1 0.5000 0.5000 0.7775
W1 0.0000 0.0000 0.0740
W2 0.5000 0.5000 0.2126

Rh3W: relaxed, PBE.

Properties
Raw total energy ... -8.8785 eV/atom
Calculated volume ... 14.6 A^3/atom
ΔH_f (0 K) ... -12.2 kJ/mol of atoms
Total magnetic moment ... 0.00 Bohr magnetons per cell

a b c (Å): 5.2085 5.2085 5.2085
angles (deg): 149.20 125.43 63.98
Element x y z (fractional)
Rh1 0.7419 0.7460 0.9959
Rh2 0.8430 0.5000 0.3430
Rh3 0.2499 0.2540 0.9959
W1 0.3319 0.0000 0.3319